# CsB3Rh (PBE-GGA, optimized geometry)
# * total DFT energy (no corrections): -9.98 eV/cell
# * formation energy from the elements: 18.3 eV/f.u.
# * Fermi-level density of states: 0.4977 states/eV per atom
# * total magnetization: 0.00 μB/f.u.
data_CsB3Rh
_cell_length_a 4.4466
_cell_length_b 4.4466
_cell_length_c 4.4466
_cell_angle_alpha 90.00
_cell_angle_beta 90.00
_cell_angle_gamma 90.00
_space_group_name_H-M_alt 'P m -3 m'
_space_group_IT_number 221
_space_group_name_Hall '-P 4 2 3'
loop_
_atom_site_label
_atom_site_fract_x
_atom_site_fract_y
_atom_site_fract_z
_atom_site_occupancy
Cs1 0.0000 0.0000 0.0000 1
B1 0.0000 0.0000 0.5000 1
Rh1 0.5000 0.5000 0.5000 1